Record 1
Material: SmDyCdSn
Method: DFT, GGA-PBE
State: relaxed

The structure in CIF format:
```
data_SmDyCdSn
_chemical_formula_sum 'Sm4 Dy4 Cd4 Sn4'
_space_group_name_H-M_alt 'F -4 3 m'
_space_group_IT_number 216
_space_group_name_Hall 'F -4 2 3'
_cell_length_a 7.541
_cell_length_b 7.541
_cell_length_c 7.541
_cell_angle_alpha 90.00
_cell_angle_beta 90.00
_cell_angle_gamma 90.00
loop_
_atom_site_label
_atom_site_type_symbol
_atom_site_fract_x
_atom_site_fract_y
_atom_site_fract_z
Sm1 Sm 0.000 0.000 0.000
Dy1 Dy 0.000 0.000 0.500
Cd1 Cd 0.250 0.250 0.750
Sn1 Sn 0.250 0.250 0.250
```

Properties
**Energy**: -65.125 eV for the cell shown
**D(E_F)**: 2.72 states/eV/f.u.
**ρ**: 8.42 g cm⁻³
**Total magnetization**: 0.00 μB per formula unit

=====

Record 2
Material: HfH
Method: DFT, GGA-PBE
State: relaxed

The structure in CIF format:
```
data_HfH
_chemical_formula_sum 'Hf4 H4'
_space_group_name_H-M_alt 'F m -3 m'
_space_group_IT_number 225
_space_group_name_Hall '-F 4 2 3'
_cell_length_a 4.533
_cell_length_b 4.533
_cell_length_c 4.533
_cell_angle_alpha 90.00
_cell_angle_beta 90.00
_cell_angle_gamma 90.00
loop_
_atom_site_label
_atom_site_type_symbol
_atom_site_fract_x
_atom_site_fract_y
_atom_site_fract_z
Hf1 Hf 0.000 0.000 0.000
H1 H 0.000 0.000 0.500
```

Properties
**Energy**: -55.377 eV for the cell shown
**D(E_F)**: 0.63 states/eV/f.u.
**ρ**: 12.80 g cm⁻³
**Total magnetization**: 0.00 μB per formula unit

=====

Record 3
Material: CeNd2Si2
Method: DFT, GGA-PBE
State: relaxed

The structure in CIF format:
```
data_CeNd2Si2
_chemical_formula_sum 'Ce4 Nd8 Si8'
_space_group_name_H-M_alt 'C m c m'
_space_group_IT_number 63
_space_group_name_Hall '-C 2c 2'
_cell_length_a 6.019
_cell_length_b 17.320
_cell_length_c 5.115
_cell_angle_alpha 90.00
_cell_angle_beta 90.00
_cell_angle_gamma 90.00
loop_
_atom_site_label
_atom_site_type_symbol
_atom_site_fract_x
_atom_site_fract_y
_atom_site_fract_z
Ce1 Ce 0.000 0.000 0.000
Nd1 Nd 0.000 0.219 0.250
Nd2 Nd 0.000 0.405 0.750
Si1 Si 0.206 0.141 0.750
```

Properties
**D(E_F)**: 4.81 states/eV/f.u.
**ρ**: 6.04 g cm⁻³
**Raw formation energy**: -0.374 eV per atom
**E above lowest polymorph**: 0.77 eV per formula unit
**Total magnetization**: 0.28 μB per formula unit

=====

Record 4
Material: Sr5SnSe8
Method: DFT, GGA-PBE
State: relaxed

The structure in CIF format:
```
data_Sr5SnSe8
_chemical_formula_sum 'Sr10 Sn2 Se16'
_space_group_name_H-M_alt 'I -4'
_space_group_IT_number 82
_cell_length_a 9.046
_cell_length_b 9.046
_cell_length_c 9.840
_cell_angle_alpha 90.00
_cell_angle_beta 90.00
_cell_angle_gamma 90.00
loop_
_space_group_symop_operation_xyz
'x,y,z'
'y,-x,-z'
'-x,-y,z'
'-y,x,-z'
'x+1/2,y+1/2,z+1/2'
'y+1/2,-x+1/2,-z+1/2'
'-x+1/2,-y+1/2,z+1/2'
'-y+1/2,x+1/2,-z+1/2'
loop_
_atom_site_label
_atom_site_type_symbol
_atom_site_fract_x
_atom_site_fract_y
_atom_site_fract_z
Sr1 Sr 0.000 0.000 0.000
Sr2 Sr 0.129 0.738 0.382
Sn1 Sn 0.000 0.500 0.750
Se1 Se 0.061 0.793 0.704
Se2 Se 0.094 0.680 0.068
```

Properties
**D(E_F)**: 10.53 states/eV/f.u.
**ρ**: 4.90 g cm⁻³
**Raw formation energy**: -1.335 eV per atom
**Total magnetization**: 0.00 μB per formula unit

=====

Record 5
Material: Pu2Ga4CuAu3
Method: DFT, GGA-PBE
State: relaxed

The structure in CIF format:
```
data_Pu2Ga4CuAu3
_chemical_formula_sum 'Pu2 Ga4 Cu1 Au3'
_space_group_name_H-M_alt 'P -4 m 2'
_space_group_IT_number 115
_cell_length_a 4.252
_cell_length_b 4.252
_cell_length_c 11.074
_cell_angle_alpha 90.00
_cell_angle_beta 90.00
_cell_angle_gamma 90.00
loop_
_space_group_symop_operation_xyz
'x,y,z'
'y,-x,-z'
'-x,-y,z'
'-y,x,-z'
'-x,y,z'
'-y,-x,-z'
'x,-y,z'
'y,x,-z'
loop_
_atom_site_label
_atom_site_type_symbol
_atom_site_fract_x
_atom_site_fract_y
_atom_site_fract_z
Pu1 Pu 0.000 0.500 0.241
Ga1 Ga 0.000 0.000 0.500
Ga2 Ga 0.000 0.500 0.871
Ga3 Ga 0.500 0.500 0.500
Cu1 Cu 0.500 0.500 0.000
Au1 Au 0.000 0.000 0.000
Au2 Au 0.000 0.500 0.642
```

Properties
**Energy**: -58.331 eV for the cell shown
**D(E_F)**: 28.57 states/eV/f.u.
**ρ**: 11.79 g cm⁻³
**Total magnetization**: 10.98 μB per formula unit

=====

Record 6
Material: Tm3TaRu4
Method: DFT, GGA-PBE
State: relaxed

The structure in CIF format:
```
data_Tm3TaRu4
_chemical_formula_sum 'Tm3 Ta1 Ru4'
_space_group_name_H-M_alt 'P 4/m m m'
_space_group_IT_number 123
_space_group_name_Hall '-P 4 2'
_cell_length_a 3.279
_cell_length_b 3.279
_cell_length_c 13.447
_cell_angle_alpha 90.00
_cell_angle_beta 90.00
_cell_angle_gamma 90.00
loop_
_atom_site_label
_atom_site_type_symbol
_atom_site_fract_x
_atom_site_fract_y
_atom_site_fract_z
Tm1 Tm 0.000 0.000 0.000
Tm2 Tm 0.000 0.000 0.250
Ta1 Ta 0.000 0.000 0.500
Ru1 Ru 0.500 0.500 0.128
Ru2 Ru 0.500 0.500 0.390
```

Properties
**Energy**: -66.193 eV for the cell shown
**D(E_F)**: 4.20 states/eV/f.u.
**ρ**: 12.54 g cm⁻³
**Total magnetization**: 0.00 μB per formula unit

=====

Record 7
Material: Mg2CoHg
Method: DFT, GGA-PBE
State: relaxed

The structure in CIF format:
```
data_Mg2CoHg
_chemical_formula_sum 'Mg6 Co3 Hg3'
_space_group_name_H-M_alt 'R -3 m'
_space_group_IT_number 166
_space_group_name_Hall '-R 3 2"'
_cell_length_a 3.0481
_cell_length_b 3.0481
_cell_length_c 27.9531
_cell_angle_alpha 90.00
_cell_angle_beta 90.00
_cell_angle_gamma 120.00
loop_
_atom_site_label
_atom_site_type_symbol
_atom_site_fract_x
_atom_site_fract_y
_atom_site_fract_z
Mg1 Mg 0.0000 0.0000 0.2369
Co1 Co 0.0000 0.0000 0.5000
Hg1 Hg 0.0000 0.0000 0.0000
```

Properties
**Energy**: -29.868 eV for the cell shown
**D(E_F)**: 2.72 states/eV/f.u.
**ρ**: 6.82 g cm⁻³
**Total magnetization**: 1.23 μB per formula unit

=====

Record 8
Material: Ca4TeCl
Method: DFT, GGA-PBE
State: relaxed

The structure in CIF format:
```
data_Ca4TeCl
_chemical_formula_sum 'Ca16 Te4 Cl4'
_space_group_name_H-M_alt 'F -4 3 m'
_space_group_IT_number 216
_space_group_name_Hall 'F -4 2 3'
_cell_length_a 9.618
_cell_length_b 9.618
_cell_length_c 9.618
_cell_angle_alpha 90.00
_cell_angle_beta 90.00
_cell_angle_gamma 90.00
loop_
_atom_site_label
_atom_site_type_symbol
_atom_site_fract_x
_atom_site_fract_y
_atom_site_fract_z
Ca1 Ca 0.124 0.124 0.376
Te1 Te 0.250 0.250 0.750
Cl1 Cl 0.000 0.000 0.000
```

Properties
**D(E_F)**: 4.85 states/eV/f.u.
**ρ**: 2.41 g cm⁻³
**Raw formation energy**: -0.280 eV per atom
**Total magnetization**: 0.00 μB per formula unit

=====

Record 9
Material: Li2GaSi
Method: DFT, GGA-PBE
State: relaxed

The structure in CIF format:
```
data_Li2GaSi
_chemical_formula_sum 'Li2 Ga1 Si1'
_space_group_name_H-M_alt 'P 1 2/m 1'
_space_group_IT_number 10
_cell_length_a 2.736
_cell_length_b 4.133
_cell_length_c 5.248
_cell_angle_alpha 90.00
_cell_angle_beta 90.89
_cell_angle_gamma 90.00
loop_
_space_group_symop_operation_xyz
'x,y,z'
'-x,-y,-z'
'-x,y,-z'
'x,-y,z'
loop_
_atom_site_label
_atom_site_type_symbol
_atom_site_fract_x
_atom_site_fract_y
_atom_site_fract_z
Li1 Li 0.001 0.000 0.239
Ga1 Ga 0.500 0.500 0.500
Si1 Si 0.500 0.500 0.000
```

Properties
**D(E_F)**: 1.00 states/eV/f.u.
**ρ**: 3.12 g cm⁻³
**Raw formation energy**: -0.194 eV per atom
**E above lowest polymorph**: 0.06 eV per formula unit
**Total magnetization**: 0.00 μB per formula unit

=====

Record 10
Material: Nd2YHo
Method: DFT, GGA-PBE
State: relaxed

The structure in CIF format:
```
data_Nd2YHo
_chemical_formula_sum 'Nd2 Y1 Ho1'
_space_group_name_H-M_alt 'P m m m'
_space_group_IT_number 47
_cell_length_a 3.629
_cell_length_b 5.056
_cell_length_c 7.260
_cell_angle_alpha 90.00
_cell_angle_beta 90.00
_cell_angle_gamma 90.00
loop_
_space_group_symop_operation_xyz
'x,y,z'
'-x,-y,-z'
'-x,-y,z'
'x,y,-z'
'x,-y,-z'
'-x,y,z'
'-x,y,-z'
'x,-y,z'
loop_
_atom_site_label
_atom_site_type_symbol
_atom_site_fract_x
_atom_site_fract_y
_atom_site_fract_z
Nd1 Nd 0.000 0.000 0.248
Y1 Y 0.500 0.500 0.500
Ho1 Ho 0.500 0.500 0.000
```

Properties
**D(E_F)**: 5.69 states/eV/f.u.
**ρ**: 6.76 g cm⁻³
**E above lowest polymorph**: 0.02 eV per formula unit
**Total magnetization**: 0.00 μB per formula unit